Entry 1:
Entry from Alexandria: MgSc2Be after structural relaxation (PBE).

## Properties
Magnetization in μB per atom: 0.00
ΔH_f (0 K) in meV/atom: 232

Lattice parameters (Å, degrees): 5.3498 5.3498 5.3498 133.71 133.71 67.54
Closest atoms and distances in Å follow each position.
Sites, in units of the cell vectors:
Mg 0.0000 0.0000 0.0000  8 Sc 2.97-3.06, 4 Be 3.06
Sc 0.2500 0.7500 0.5000  4 Be 2.97, 4 Sc 3.06, 4 Mg 3.06
Sc 0.5000 0.5000 0.0000  4 Mg 2.97, 4 Be 3.06, 4 Sc 3.06
Be 0.7500 0.2500 0.5000  8 Sc 2.97-3.06, 4 Mg 3.06

---

Entry 2:
Entry from Alexandria: KTi4S8 after structural relaxation (PBE).

## Properties
Magnetization in μB per atom: 0.00
Energy relative to the elements, uncorrected in eV per atom: -1.39

Lattice parameters (Å, degrees): 8.9337 8.9337 8.9337 44.99 44.99 44.99
Closest atoms and distances in Å follow each position.
Sites, in units of the cell vectors:
K 0.0000 0.0000 0.0000  6 S 3.25
Ti 0.0000 0.0000 0.5000  6 S 2.44
Ti 0.0000 0.5000 0.0000  6 S 2.44
Ti 0.5000 0.0000 0.0000  6 S 2.44
Ti 0.5000 0.5000 0.5000  6 S 2.43
S 0.2261 0.2261 0.2261  3 Ti 2.44
S 0.2279 0.7256 0.7256  3 Ti 2.43-2.44
S 0.2744 0.2744 0.7721  3 Ti 2.43-2.44
S 0.2744 0.7721 0.2744  3 Ti 2.43-2.44
S 0.7256 0.2279 0.7256  3 Ti 2.43-2.44
S 0.7256 0.7256 0.2279  3 Ti 2.43-2.44
S 0.7721 0.2744 0.2744  3 Ti 2.43-2.44
S 0.7739 0.7739 0.7739  3 Ti 2.44

---

Entry 3:
Entry from Alexandria: Ce2NiH4 after structural relaxation (PBE).

## Properties
E_tot in eV per cell: -67.5
Magnetization in μB per atom: 0.25

Lattice parameters (Å, degrees): 5.9273 4.5487 6.9724 90.00 108.87 90.00
Closest atoms and distances in Å follow each position.
Sites, in units of the cell vectors:
Ce 0.2210 0.2500 0.4411  8 H 2.32-2.58
Ce 0.2778 0.7500 0.0624  6 H 2.32-2.57
Ce 0.7222 0.2500 0.9376  6 H 2.32-2.57
Ce 0.7790 0.7500 0.5589  8 H 2.32-2.58
Ni 0.3610 0.7500 0.7026  3 H 1.63-1.76
Ni 0.6390 0.2500 0.2974  3 H 1.63-1.76
H 0.1318 0.2500 0.0917  4 Ce 2.32-2.47
H 0.1821 0.0022 0.7370  1 Ni 1.63
H 0.1821 0.4978 0.7370  1 Ni 1.63
H 0.3492 0.7500 0.4468  1 Ni 1.76
H 0.6508 0.2500 0.5532  1 Ni 1.76
H 0.8179 0.5022 0.2630  1 Ni 1.63
H 0.8179 0.9978 0.2630  1 Ni 1.63
H 0.8682 0.7500 0.9083  4 Ce 2.32-2.47

---

Entry 4:
Entry from Alexandria: CrSbS2 after structural relaxation (PBE).

## Properties
Magnetization in μB per atom: 0.00
Energy relative to the elements, uncorrected in eV per atom: -0.14

Lattice parameters (Å, degrees): 7.0269 6.1607 11.0442 90.00 126.95 90.00
Closest atoms and distances in Å follow each position.
Sites, in units of the cell vectors:
Cr 0.2003 0.1055 0.0490  3 S 2.08-2.20
Cr 0.2003 0.3945 0.5490  3 S 2.08-2.20
Cr 0.7997 0.6055 0.4510  3 S 2.08-2.20
Cr 0.7997 0.8945 0.9510  3 S 2.08-2.20
Sb 0.3714 0.0525 0.7419  2 S 2.59-2.84, 2 Cr 2.64-2.71
Sb 0.3714 0.4475 0.2419  2 S 2.59-2.84, 2 Cr 2.64-2.71
Sb 0.6286 0.5525 0.7581  2 S 2.59-2.84, 2 Cr 2.64-2.71
Sb 0.6286 0.9475 0.2581  2 S 2.59-2.84, 2 Cr 2.64-2.71
S 0.1323 0.7415 0.5042  2 Cr 2.18-2.20
S 0.1323 0.7585 0.0042  2 Cr 2.18-2.20
S 0.2205 0.2319 0.8821  1 Cr 2.08
S 0.2205 0.2681 0.3821  1 Cr 2.08
S 0.7795 0.7319 0.6179  1 Cr 2.08
S 0.7795 0.7681 0.1179  1 Cr 2.08
S 0.8677 0.2415 0.9958  2 Cr 2.18-2.20
S 0.8677 0.2585 0.4958  2 Cr 2.18-2.20

---

Entry 5:
Entry from Alexandria: InAs2Os after structural relaxation (PBE).

## Properties
Magnetization in μB per atom: 0.00
ΔH_f (0 K) in meV/atom: 282

Lattice parameters (Å, degrees): 9.3975 9.3975 9.3975 19.10 19.10 19.10
Closest atoms and distances in Å follow each position.
Sites, in units of the cell vectors:
In 0.0000 0.0000 0.0000  3 Os 2.88, 3 As 2.98, 6 In 3.12
As 0.2476 0.2476 0.2476  3 In 2.98, 6 As 3.12
As 0.4759 0.4759 0.4759  3 Os 2.48
Os 0.7478 0.7478 0.7478  3 As 2.48

---

Entry 6:
Entry from Alexandria: NaCd3Ru after structural relaxation (PBE).

## Properties
Magnetization in μB per atom: 0.00
ΔH_f (0 K) in meV/atom: 297

Lattice parameters (Å, degrees): 5.2157 5.2157 5.2157 90.00 90.00 90.00
Closest atoms and distances in Å follow each position.
Sites, in units of the cell vectors:
Na 0.0000 0.0000 0.0000  12 Cd 3.69
Cd 0.0000 0.5000 0.5000  2 Ru 2.61
Cd 0.5000 0.0000 0.5000  2 Ru 2.61
Cd 0.5000 0.5000 0.0000  2 Ru 2.61
Ru 0.5000 0.5000 0.5000  6 Cd 2.61